Here is a relaxed structure of MnNiTe3 from Alexandria via LeMat-Bulk. Energies are from PBE.

Computed properties:
As for the energy above the most stable polymorph in this dataset: 24.00 kcal/mol of atoms. The value obtained for the formation energy without anion corrections is 84.8 kJ/mol of atoms. As for the crystal system: cubic.

a b c (Å): 4.980 4.980 4.980
angles (deg): 90.00 90.00 90.00
Space group Pm-3m (No. 221)
Inequivalent atoms, fractional coordinates:
Mn (0.000, 0.000, 0.000) [1 per cell]
Ni (0.500, 0.500, 0.500) [1 per cell]
Te (0.000, 0.000, 0.500) [3 per cell]



Here is a relaxed structure of NiPt2Se from Alexandria via LeMat-Bulk. Energies are from PBE.

Computed properties:
The value obtained for the formation energy without anion corrections is 9.2 kJ/mol of atoms. As for the crystal system: tetragonal.

a b c (Å): 3.096 3.096 6.275
angles (deg): 90.00 90.00 90.00
Space group P4mm (No. 99)
Inequivalent atoms, fractional coordinates:
Ni (0.000, 0.000, 0.000) [1 per cell]
Pt (0.000, 0.000, 0.528) [1 per cell]
Pt (0.500, 0.500, 0.247) [1 per cell]
Se (0.500, 0.500, 0.814) [1 per cell]



Here is a relaxed structure of Pm7SmHo4 from Alexandria via LeMat-Bulk. Energies are from PBE.

Computed properties:
As for the energy above the most stable polymorph in this dataset: 4.81 kcal/mol of atoms. As for the crystal system: monoclinic.

a b c (Å): 16.133 5.980 9.415
angles (deg): 90.00 116.57 90.00
Space group C2/m (No. 12)
Inequivalent atoms, fractional coordinates:
Pm (0.000, 0.000, 0.000) [2 per cell]
Pm (0.085, 0.500, 0.449) [4 per cell]
Pm (0.212, 0.500, 0.237) [4 per cell]
Pm (0.214, 0.500, 0.883) [4 per cell]
Sm (0.000, 0.500, 0.000) [2 per cell]
Ho (0.072, 0.000, 0.698) [4 per cell]
Ho (0.170, 0.000, 0.384) [4 per cell]



Here is a relaxed structure of Ba2NiHgC from Alexandria via LeMat-Bulk. Energies are from PBE.

Computed properties:
As for the energy above the most stable polymorph in this dataset: 28.74 kcal/mol of atoms. As for the crystal system: tetragonal.

a b c (Å): 6.308 6.308 4.774
angles (deg): 90.00 90.00 90.00
Space group P4/mmm (No. 123)
Inequivalent atoms, fractional coordinates:
Ba (0.000, 0.500, 0.000) [2 per cell]
Ni (0.000, 0.000, 0.500) [1 per cell]
Hg (0.000, 0.000, 0.000) [1 per cell]
C (0.500, 0.500, 0.500) [1 per cell]



Here is a relaxed structure of BaSe3O from Alexandria via LeMat-Bulk. Energies are from PBE.

Computed properties:
As for the energy above the most stable polymorph in this dataset: 29.28 kcal/mol of atoms. The value obtained for the formation energy without anion corrections is 71.4 kJ/mol of atoms. As for the crystal system: cubic.

a b c (Å): 6.481 6.481 6.481
angles (deg): 90.00 90.00 90.00
Space group Pm-3m (No. 221)
Inequivalent atoms, fractional coordinates:
Ba (0.000, 0.000, 0.000) [1 per cell]
Se (0.000, 0.000, 0.500) [3 per cell]
O (0.500, 0.500, 0.500) [1 per cell]



Here is a relaxed structure of SrLaB from Alexandria via LeMat-Bulk. Energies are from PBE.

Computed properties:
As for the energy above the most stable polymorph in this dataset: 0.62 kcal/mol of atoms. As for the crystal system: triclinic.

a b c (Å): 4.053 4.679 10.160
angles (deg): 85.26 82.49 79.44
Space group P-1 (No. 2)
Inequivalent atoms, fractional coordinates:
Sr (0.205, 0.230, 0.147) [2 per cell]
La (0.367, 0.296, 0.615) [2 per cell]
B (0.029, 0.862, 0.554) [2 per cell]



Here is a relaxed structure of FeAu2Se from Alexandria via LeMat-Bulk. Energies are from PBE.

Computed properties:
The value obtained for the formation energy without anion corrections is 21.2 kJ/mol of atoms. As for the crystal system: orthorhombic.

a b c (Å): 3.980 3.988 9.111
angles (deg): 90.00 90.00 90.00
Space group Cmmm (No. 65)
Inequivalent atoms, fractional coordinates:
Fe (0.000, 0.000, 0.000) [2 per cell]
Au (0.000, 0.500, 0.209) [4 per cell]
Se (0.000, 0.000, 0.500) [2 per cell]



Here is a relaxed structure of HoV5 from Alexandria via LeMat-Bulk. Energies are from PBE.

Computed properties:
As for the crystal system: orthorhombic. The total energy comes out at -8.03 eV/atom.

a b c (Å): 4.579 13.340 3.128
angles (deg): 90.00 90.00 90.00
Space group Cmmm (No. 65)
Inequivalent atoms, fractional coordinates:
Ho (0.000, 0.000, 0.000) [2 per cell]
V (0.000, 0.191, 0.500) [4 per cell]
V (0.000, 0.330, 0.000) [4 per cell]
V (0.000, 0.500, 0.500) [2 per cell]



Here is a relaxed structure of BeHg2Os from Alexandria via LeMat-Bulk. Energies are from PBE.

Computed properties:
As for the crystal system: orthorhombic. The total energy comes out at -3.00 eV/atom.

a b c (Å): 2.885 3.996 5.778
angles (deg): 90.00 90.00 90.00
Space group Pmmm (No. 47)
Inequivalent atoms, fractional coordinates:
Be (0.000, 0.000, 0.000) [1 per cell]
Hg (0.500, 0.500, 0.241) [2 per cell]
Os (0.000, 0.000, 0.500) [1 per cell]



Here is a relaxed structure of MnGeAu from Alexandria via LeMat-Bulk. Energies are from PBE.

Computed properties:
As for the crystal system: monoclinic. The total energy comes out at -5.56 eV/atom.

a b c (Å): 9.115 2.803 8.565
angles (deg): 90.00 105.63 90.00
Space group C2/m (No. 12)
Inequivalent atoms, fractional coordinates:
Mn (0.238, 0.000, 0.128) [4 per cell]
Ge (0.026, 0.000, 0.848) [4 per cell]
Au (0.162, 0.000, 0.590) [4 per cell]



Here is a relaxed structure of TcPBr2 from Alexandria via LeMat-Bulk. Energies are from PBE.

Computed properties:
As for the energy above the most stable polymorph in this dataset: 25.32 kcal/mol of atoms. The value obtained for the formation energy without anion corrections is 89.1 kJ/mol of atoms. As for the crystal system: orthorhombic.

a b c (Å): 6.261 6.595 8.627
angles (deg): 90.00 90.00 90.00
Space group Fmmm (No. 69)
Inequivalent atoms, fractional coordinates:
Tc (0.000, 0.000, 0.000) [4 per cell]
P (0.000, 0.000, 0.500) [4 per cell]
Br (0.000, 0.250, 0.250) [8 per cell]



Here is a relaxed structure of TlCuSn from Alexandria via LeMat-Bulk. Energies are from PBE.

Computed properties:
As for the crystal system: orthorhombic. The total energy comes out at -3.37 eV/atom.

a b c (Å): 9.320 4.620 6.622
angles (deg): 90.00 90.00 90.00
Space group Pnma (No. 62)
Inequivalent atoms, fractional coordinates:
Tl (0.122, 0.250, 0.015) [4 per cell]
Cu (0.126, 0.750, 0.273) [4 per cell]
Sn (0.126, 0.250, 0.514) [4 per cell]